A plane-wave DFT calculation with PBE was carried out for crystalline La8Ge3HI3 at its relaxed geometry.

Output
- E: -4.88 eV/atom
- Volume: 33.5 A^3/atom

Unit cell a=8.7772 b=8.7810 c=9.0748 alpha=118.97 beta=90.00 gamma=119.98
Element x y z (fractional)
Ge  0.5000  0.5000  0.5000
I  0.0000  0.0000  0.0000
La  0.2436  0.4872  0.7168
I  0.0000  0.5000  0.0000
H  0.0000  0.0000  0.5000
La  0.2624  0.5248  0.2873
La  0.7376  0.4752  0.7127
La  0.2435  0.9732  0.7167
La  0.7295  0.9731  0.7168
La  0.7564  0.5128  0.2832
Ge  0.5000  0.0000  0.5000
I  0.5000  0.5000  0.0000
Ge  0.0000  0.5000  0.5000
La  0.7565  0.0268  0.2833
La  0.2705  0.0269  0.2832

---

A plane-wave DFT calculation with PBE was carried out for crystalline HgRh2Se at its relaxed geometry.

Output
- Volume: 18.9 A^3/atom
- Formation energy without anion corrections: 0.05 eV per atom

Unit cell a=5.6820 b=5.6820 c=4.5630 alpha=81.39 beta=81.39 gamma=31.35
Element x y z (fractional)
Hg  0.7905  0.7905  0.7052
Se  0.5491  0.5491  0.4311
Rh  0.2140  0.2140  0.2199
Rh  0.9464  0.9464  0.1438

---

Q: Number 1 is which compound?
A: La8Ge3HI3